# LiCdAs2Br PBE optimized geometry
# - M_tot (μB per formula unit) = 0.52
# - N(E_F) (states/eV per atom) = 0.892
# - energy relative to the elements, uncorrected (eV/atom) = 0.294
data_LiCdAs2Br
_cell_length_a 4.720
_cell_length_b 4.720
_cell_length_c 5.092
_cell_angle_alpha 90.00
_cell_angle_beta 90.00
_cell_angle_gamma 90.00
_symmetry_space_group_name_H-M 'P 4/m m m'
_symmetry_Int_Tables_number 123
_symmetry_space_group_name_Hall '-P 4 2'
loop_
_atom_site_label
_atom_site_type_symbol
_atom_site_fract_x
_atom_site_fract_y
_atom_site_fract_z
Li1 Li 0.000 0.000 0.000
Cd1 Cd 0.500 0.500 0.500
As1 As 0.000 0.500 0.000
Br1 Br 0.000 0.000 0.500

=====

# ThCo4B4 PBE optimized geometry
# - formation energy from the elements (eV/atom) = -0.478
# - M_tot (μB per formula unit) = 0.00
# - N(E_F) (states/eV per atom) = 0.722
data_ThCo4B4
_cell_length_a 5.085
_cell_length_b 5.085
_cell_length_c 7.115
_cell_angle_alpha 90.00
_cell_angle_beta 90.00
_cell_angle_gamma 90.00
_symmetry_space_group_name_H-M 'P 42/n m c'
_symmetry_Int_Tables_number 137
loop_
_symmetry_equiv_pos_as_xyz
'x,y,z'
'-x,-y,-z'
'-y+1/2,x,z+1/2'
'y+1/2,-x,-z+1/2'
'-x+1/2,-y+1/2,z'
'x+1/2,y+1/2,-z'
'y,-x+1/2,z+1/2'
'-y,x+1/2,-z+1/2'
'x+1/2,-y,-z'
'-x+1/2,y,z'
'-y,-x,-z+1/2'
'y,x,z+1/2'
'-x,y+1/2,-z'
'x,-y+1/2,z'
'y+1/2,x+1/2,-z+1/2'
'-y+1/2,-x+1/2,z+1/2'
loop_
_atom_site_label
_atom_site_type_symbol
_atom_site_fract_x
_atom_site_fract_y
_atom_site_fract_z
Th1 Th 0.250 0.750 0.250
Co1 Co 0.003 0.750 0.616
B1 B 0.078 0.250 0.088

=====

# Ti6TlBi3 PBE optimized geometry
# - formation energy from the elements (eV/atom) = 0.018
# - M_tot (μB per formula unit) = 0.00
# - N(E_F) (states/eV per atom) = 0.902
data_Ti6TlBi3
_cell_length_a 8.763
_cell_length_b 13.724
_cell_length_c 7.206
_cell_angle_alpha 90.00
_cell_angle_beta 90.00
_cell_angle_gamma 90.00
_symmetry_space_group_name_H-M 'C m c 21'
_symmetry_Int_Tables_number 36
_symmetry_space_group_name_Hall 'C 2c -2'
loop_
_atom_site_label
_atom_site_type_symbol
_atom_site_fract_x
_atom_site_fract_y
_atom_site_fract_z
Ti1 Ti 0.000 0.061 0.000
Ti2 Ti 0.000 0.260 0.735
Ti3 Ti 0.195 0.410 0.807
Ti4 Ti 0.223 0.218 0.004
Tl1 Tl 0.000 0.195 0.305
Bi1 Bi 0.000 0.429 0.485
Bi2 Bi 0.201 0.095 0.677

=====

# TmAgPbS3 PBE optimized geometry
# - M_tot (μB per formula unit) = 0.00
# - energy relative to the elements, uncorrected (eV/atom) = -1.017
data_TmAgPbS3
_cell_length_a 8.166
_cell_length_b 3.999
_cell_length_c 8.842
_cell_angle_alpha 90.00
_cell_angle_beta 103.56
_cell_angle_gamma 90.00
_symmetry_space_group_name_H-M 'P 1 21/m 1'
_symmetry_Int_Tables_number 11
_symmetry_space_group_name_Hall '-P 2yb'
loop_
_atom_site_label
_atom_site_type_symbol
_atom_site_fract_x
_atom_site_fract_y
_atom_site_fract_z
Tm1 Tm 0.173 0.250 0.165
Ag1 Ag 0.404 0.750 0.411
Pb1 Pb 0.300 0.750 0.763
S1 S 0.060 0.250 0.848
S2 S 0.239 0.250 0.483
S3 S 0.388 0.750 0.122

=====

# Ac3NbZn2O9 PBE optimized geometry
# - M_tot (μB per formula unit) = 0.00
# - N(E_F) (states/eV per atom) = 0.000
# - energy relative to the elements, uncorrected (eV/atom) = -2.636
data_Ac3NbZn2O9
_cell_length_a 5.7807
_cell_length_b 5.7807
_cell_length_c 7.1100
_cell_angle_alpha 90.00
_cell_angle_beta 90.00
_cell_angle_gamma 120.00
_symmetry_space_group_name_H-M 'P -3 m 1'
_symmetry_Int_Tables_number 164
_symmetry_space_group_name_Hall '-P 3 2"'
loop_
_atom_site_label
_atom_site_type_symbol
_atom_site_fract_x
_atom_site_fract_y
_atom_site_fract_z
Ac1 Ac 0.0000 0.0000 0.0000
Ac2 Ac 0.3333 0.6667 0.7178
Nb1 Nb 0.0000 0.0000 0.5000
Zn1 Zn 0.3333 0.6667 0.1746
O1 O 0.0000 0.5000 0.0000
O2 O 0.1600 0.3200 0.3322

=====

# SmLuAlIr PBE optimized geometry
# - formation energy from the elements (eV/atom) = -0.533
# - M_tot (μB per formula unit) = 0.00
# - N(E_F) (states/eV per atom) = 0.842
data_SmLuAlIr
_cell_length_a 7.036
_cell_length_b 7.036
_cell_length_c 7.036
_cell_angle_alpha 90.00
_cell_angle_beta 90.00
_cell_angle_gamma 90.00
_symmetry_space_group_name_H-M 'F -4 3 m'
_symmetry_Int_Tables_number 216
_symmetry_space_group_name_Hall 'F -4 2 3'
loop_
_atom_site_label
_atom_site_type_symbol
_atom_site_fract_x
_atom_site_fract_y
_atom_site_fract_z
Sm1 Sm 0.000 0.000 0.000
Lu1 Lu 0.000 0.000 0.500
Al1 Al 0.250 0.250 0.250
Ir1 Ir 0.250 0.250 0.750

=====

# BaCaGa3 PBE optimized geometry
# - formation energy from the elements (eV/atom) = -0.443
# - M_tot (μB per formula unit) = 0.00
# - N(E_F) (states/eV per atom) = 0.661
data_BaCaGa3
_cell_length_a 4.926
_cell_length_b 26.602
_cell_length_c 4.373
_cell_angle_alpha 90.00
_cell_angle_beta 90.00
_cell_angle_gamma 90.00
_symmetry_space_group_name_H-M 'C m c m'
_symmetry_Int_Tables_number 63
_symmetry_space_group_name_Hall '-C 2c 2'
loop_
_atom_site_label
_atom_site_type_symbol
_atom_site_fract_x
_atom_site_fract_y
_atom_site_fract_z
Ba1 Ba 0.000 0.074 0.250
Ca1 Ca 0.000 0.205 0.750
Ga1 Ga 0.000 0.325 0.750
Ga2 Ga 0.000 0.377 0.250
Ga3 Ga 0.000 0.475 0.250

=====

# Cd5Mo3 PBE optimized geometry
# - formation energy from the elements (eV/atom) = 0.673
# - M_tot (μB per formula unit) = 0.00
# - N(E_F) (states/eV per atom) = 0.839
data_Cd5Mo3
_cell_length_a 8.4092
_cell_length_b 8.4092
_cell_length_c 5.1212
_cell_angle_alpha 90.00
_cell_angle_beta 90.00
_cell_angle_gamma 120.00
_symmetry_space_group_name_H-M 'P 63/m c m'
_symmetry_Int_Tables_number 193
_symmetry_space_group_name_Hall '-P 6c 2'
loop_
_atom_site_label
_atom_site_type_symbol
_atom_site_fract_x
_atom_site_fract_y
_atom_site_fract_z
Cd1 Cd 0.0000 0.2244 0.2500
Cd2 Cd 0.3333 0.6667 0.0000
Mo1 Mo 0.0000 0.4215 0.7500

=====

# KNiAg2 PBE optimized geometry
# - formation energy from the elements (eV/atom) = 0.317
# - M_tot (μB per formula unit) = 0.00
# - N(E_F) (states/eV per atom) = 0.478
data_KNiAg2
_cell_length_a 3.221
_cell_length_b 3.242
_cell_length_c 8.087
_cell_angle_alpha 90.00
_cell_angle_beta 90.00
_cell_angle_gamma 90.00
_symmetry_space_group_name_H-M 'P m m m'
_symmetry_Int_Tables_number 47
_symmetry_space_group_name_Hall '-P 2 2'
loop_
_atom_site_label
_atom_site_type_symbol
_atom_site_fract_x
_atom_site_fract_y
_atom_site_fract_z
K1 K 0.000 0.000 0.000
Ni1 Ni 0.000 0.000 0.500
Ag1 Ag 0.500 0.500 0.324

=====

# Ba8CdAg2Rh PBE optimized geometry
# - formation energy from the elements (eV/atom) = -0.159
# - M_tot (μB per formula unit) = 0.00
# - N(E_F) (states/eV per atom) = 0.792
data_Ba8CdAg2Rh
_cell_length_a 7.721
_cell_length_b 9.938
_cell_length_c 7.950
_cell_angle_alpha 90.00
_cell_angle_beta 90.57
_cell_angle_gamma 90.00
_symmetry_space_group_name_H-M 'P 1 2/m 1'
_symmetry_Int_Tables_number 10
_symmetry_space_group_name_Hall '-P 2y'
loop_
_atom_site_label
_atom_site_type_symbol
_atom_site_fract_x
_atom_site_fract_y
_atom_site_fract_z
Ba1 Ba 0.226 0.222 0.163
Ba2 Ba 0.245 0.000 0.686
Ba3 Ba 0.269 0.500 0.658
Cd1 Cd 0.000 0.500 0.000
Ag1 Ag 0.500 0.241 0.500
Rh1 Rh 0.000 0.000 0.000

=====

# SmTm5Pb4 PBE optimized geometry
# - formation energy from the elements (eV/atom) = -0.169
# - M_tot (μB per formula unit) = 0.00
# - N(E_F) (states/eV per atom) = 0.877
data_SmTm5Pb4
_cell_length_a 17.566
_cell_length_b 3.650
_cell_length_c 9.747
_cell_angle_alpha 90.00
_cell_angle_beta 93.81
_cell_angle_gamma 90.00
_symmetry_space_group_name_H-M 'C 1 2/m 1'
_symmetry_Int_Tables_number 12
_symmetry_space_group_name_Hall '-C 2y'
loop_
_atom_site_label
_atom_site_type_symbol
_atom_site_fract_x
_atom_site_fract_y
_atom_site_fract_z
Sm1 Sm 0.000 0.000 0.000
Tm1 Tm 0.000 0.000 0.500
Tm2 Tm 0.155 0.500 0.749
Tm3 Tm 0.193 0.500 0.386
Pb1 Pb 0.025 0.500 0.258
Pb2 Pb 0.184 0.000 0.064

=====

# CaSnSeBr2 PBE optimized geometry
# - M_tot (μB per formula unit) = 0.00
# - N(E_F) (states/eV per atom) = 0.215
# - energy relative to the elements, uncorrected (eV/atom) = -0.705
data_CaSnSeBr2
_cell_length_a 5.569
_cell_length_b 5.569
_cell_length_c 5.653
_cell_angle_alpha 90.00
_cell_angle_beta 90.00
_cell_angle_gamma 90.00
_symmetry_space_group_name_H-M 'P 4/m m m'
_symmetry_Int_Tables_number 123
_symmetry_space_group_name_Hall '-P 4 2'
loop_
_atom_site_label
_atom_site_type_symbol
_atom_site_fract_x
_atom_site_fract_y
_atom_site_fract_z
Ca1 Ca 0.000 0.000 0.000
Sn1 Sn 0.500 0.500 0.500
Se1 Se 0.500 0.500 0.000
Br1 Br 0.000 0.500 0.500

=====

What did the fifth record say?
# Ac3NbZn2O9 PBE optimized geometry
# - M_tot (μB per formula unit) = 0.00
# - N(E_F) (states/eV per atom) = 0.000
# - energy relative to the elements, uncorrected (eV/atom) = -2.636
data_Ac3NbZn2O9
_cell_length_a 5.7807
_cell_length_b 5.7807
_cell_length_c 7.1100
_cell_angle_alpha 90.00
_cell_angle_beta 90.00
_cell_angle_gamma 120.00
_symmetry_space_group_name_H-M 'P -3 m 1'
_symmetry_Int_Tables_number 164
_symmetry_space_group_name_Hall '-P 3 2"'
loop_
_atom_site_label
_atom_site_type_symbol
_atom_site_fract_x
_atom_site_fract_y
_atom_site_fract_z
Ac1 Ac 0.0000 0.0000 0.0000
Ac2 Ac 0.3333 0.6667 0.7178
Nb1 Nb 0.0000 0.0000 0.5000
Zn1 Zn 0.3333 0.6667 0.1746
O1 O 0.0000 0.5000 0.0000
O2 O 0.1600 0.3200 0.3322